No. 1
Below is crystalline ReCl at its relaxed geometry, with properties calculated at the GGA-PBEsol level.

abc: 2.7689 2.7689 3.8293
angles: 90.00 90.00 90.00
Fractional positions:
Re  0.5000  0.5000  0.5000
Cl  0.0000  0.0000  0.0000

Values from the calculation:
E_form (uncorrected) = 313 kJ/mol of formula units
DOS(E_F) = 1.030 states/eV per atom
polymorph energy (0 for the lowest one) = 1.6301 eV per atom

No. 2
Below is crystalline La2YSe at its relaxed geometry, with properties calculated at the GGA-PBEsol level.

abc: 4.7356 4.6532 4.6532
angles: 90.00 90.00 90.00
Fractional positions:
Y  0.5000  0.0000  0.0000
La  0.0000  0.0000  0.5000
Se  0.5000  0.5000  0.5000
La  0.0000  0.5000  0.0000

Values from the calculation:
E_form (uncorrected) = -224 kJ/mol of formula units
DOS(E_F) = 1.103 states/eV per atom

No. 3
Below is crystalline AlRhCl2 at its relaxed geometry, with properties calculated at the GGA-PBEsol level.

abc: 2.9864 2.9864 7.7951
angles: 90.00 90.00 90.00
Fractional positions:
Cl  0.5000  0.5000  0.3186
Al  0.5000  0.5000  0.7180
Cl  0.0000  0.0000  0.9321
Rh  0.0000  0.0000  0.5313

Values from the calculation:
E_form (uncorrected) = -150 kJ/mol of formula units
DOS(E_F) = 0.864 states/eV per atom
polymorph energy (0 for the lowest one) = 0.0000 eV per atom

No. 4
Below is crystalline Na2MnO4 at its relaxed geometry, with properties calculated at the GGA-PBEsol level.

abc: 5.7318 5.7318 6.6702
angles: 90.00 90.00 120.00
Fractional positions:
Mn  0.3333  0.6667  0.8306
O  0.3543  0.1772  0.2454
O  0.6457  0.8228  0.7454
Na  0.6667  0.3333  0.8960
Na  0.3333  0.6667  0.3960
O  0.3333  0.6667  0.0721
O  0.6667  0.3333  0.5721
Mn  0.6667  0.3333  0.3306
Na  0.0000  0.0000  0.5080
Na  0.0000  0.0000  0.0080
O  0.1772  0.8228  0.7454
O  0.8228  0.1772  0.2454
O  0.1772  0.3543  0.7454
O  0.8228  0.6457  0.2454

Values from the calculation:
E_form (uncorrected) = -1032 kJ/mol of formula units
DOS(E_F) = 0.646 states/eV per atom

No. 5
Below is crystalline Al2TeSe at its relaxed geometry, with properties calculated at the GGA-PBEsol level.

abc: 3.6808 3.6808 8.7150
angles: 77.81 77.81 60.00
Fractional positions:
Te  0.2726  0.2726  0.1822
Al  0.0037  0.0037  0.9890
Al  0.7539  0.7539  0.7383
Se  0.4698  0.4698  0.5905

Values from the calculation:
E_form (uncorrected) = -125 kJ/mol of formula units
DOS(E_F) = 0.222 states/eV per atom
polymorph energy (0 for the lowest one) = 0.0000 eV per atom

No. 6
Below is crystalline TaTe4Rh at its relaxed geometry, with properties calculated at the GGA-PBEsol level.

abc: 3.7305 12.5316 12.9918
angles: 90.00 90.00 90.00
Fractional positions:
Te  0.0000  0.1926  0.8498
Te  0.0000  0.0668  0.3904
Te  0.0000  0.5655  0.3964
Ta  0.5000  0.7305  0.9915
Te  0.5000  0.3244  0.3445
Te  0.0000  0.6756  0.8445
Rh  0.0000  0.7548  0.4909
Te  0.5000  0.1098  0.1511
Rh  0.5000  0.4636  0.5001
Te  0.5000  0.4345  0.8964
Te  0.0000  0.8902  0.6511
Te  0.5000  0.9332  0.8904
Te  0.5000  0.6530  0.5938
Te  0.5000  0.1486  0.6089
Rh  0.5000  0.2452  0.9909
Te  0.0000  0.4125  0.6418
Rh  0.0000  0.5364  0.0001
Te  0.0000  0.8514  0.1089
Te  0.0000  0.3470  0.0938
Te  0.5000  0.8074  0.3498
Te  0.5000  0.5875  0.1418
Ta  0.0000  0.2695  0.4915
Ta  0.5000  0.9452  0.5047
Ta  0.0000  0.0548  0.0047

Values from the calculation:
E_form (uncorrected) = -241 kJ/mol of formula units
DOS(E_F) = 0.174 states/eV per atom

No. 7
Below is crystalline Al2Ag at its relaxed geometry, with properties calculated at the GGA-PBEsol level.

abc: 4.9277 5.5831 7.5941
angles: 111.57 90.91 90.00
Fractional positions:
Al  0.2474  0.3725  0.5017
Ag  0.0733  0.4450  0.1698
Al  0.0718  0.9489  0.1675
Al  0.5718  0.2186  0.1675
Al  0.2526  0.8708  0.4983
Al  0.7526  0.6275  0.4983
Al  0.4282  0.7814  0.8325
Ag  0.5733  0.7248  0.1698
Ag  0.4267  0.2752  0.8302
Al  0.7474  0.1292  0.5017
Al  0.9282  0.0511  0.8325
Ag  0.9267  0.5550  0.8302

Values from the calculation:
DOS(E_F) = 0.318 states/eV per atom
energy of formation = -0.049 eV/atom

No. 8
Below is crystalline La2Cu2Pd at its relaxed geometry, with properties calculated at the GGA-PBEsol level.

abc: 3.5015 3.5015 8.9717
angles: 101.25 101.25 90.00
Fractional positions:
La  0.6061  0.6061  0.2122
Cu  0.2500  0.7500  0.5000
La  0.3939  0.3939  0.7878
Cu  0.7500  0.2500  0.5000
Pd  0.0000  0.0000  0.0000

Values from the calculation:
DOS(E_F) = 0.632 states/eV per atom
energy of formation = -0.215 eV/atom

No. 9
Below is crystalline Y2SnPd2 at its relaxed geometry, with properties calculated at the GGA-PBEsol level.

abc: 3.7521 3.7521 8.5838
angles: 102.62 102.62 90.00
Fractional positions:
Y  0.3809  0.3809  0.7618
Y  0.6191  0.6191  0.2382
Sn  0.0000  0.0000  0.0000
Pd  0.2500  0.7500  0.5000
Pd  0.7500  0.2500  0.5000

Values from the calculation:
DOS(E_F) = 0.541 states/eV per atom
energy of formation = -0.635 eV/atom

No. 10
Below is crystalline CuCBr2 at its relaxed geometry, with properties calculated at the GGA-PBEsol level.

abc: 4.9948 4.9948 7.2899
angles: 110.03 110.03 90.00
Fractional positions:
Br  0.1250  0.1490  0.7500
C  0.7500  0.2500  0.5000
Br  0.8510  0.3750  0.2500
Br  0.3990  0.8750  0.2500
C  0.5000  0.5000  0.0000
Cu  0.2500  0.7500  0.5000
Br  0.6250  0.6010  0.7500
Cu  0.0000  0.0000  0.0000

Values from the calculation:
E_form (uncorrected) = 510 kJ/mol of formula units
DOS(E_F) = 0.548 states/eV per atom
polymorph energy (0 for the lowest one) = 0.0000 eV per atom

No. 11
Below is crystalline BaCaFe2 at its relaxed geometry, with properties calculated at the GGA-PBEsol level.

abc: 4.9592 4.9592 4.9751
angles: 119.89 119.89 90.00
Fractional positions:
Ca  0.2500  0.7500  0.5000
Fe  0.0000  0.0000  0.0000
Ba  0.5000  0.5000  0.0000
Fe  0.7500  0.2500  0.5000

Values from the calculation:
DOS(E_F) = 1.347 states/eV per atom
polymorph energy (0 for the lowest one) = 0.0197 eV per atom
energy of formation = 0.928 eV/atom

No. 12
Below is crystalline Ca2TlZn at its relaxed geometry, with properties calculated at the GGA-PBEsol level.

abc: 3.6667 5.2909 5.2917
angles: 90.00 90.00 90.00
Fractional positions:
Ca  0.0000  0.5000  0.6255
Ca  0.0000  0.0000  0.1243
Tl  0.5000  0.0000  0.6241
Zn  0.5000  0.5000  0.1261

Values from the calculation:
DOS(E_F) = 0.501 states/eV per atom
energy of formation = -0.358 eV/atom

- Look up the DOS(E_F) of the fourth one.
  0.646 states/eV per atom

- Which of these has the lowest DOS(E_F)?
  TaTe4Rh

- Which value of DOS(E_F) does entry 2 give?
  1.103 states/eV per atom

- What is the DOS(E_F) in the first record?
  1.030 states/eV per atom